# GGA-PBE CsNbInF6, relaxed
# **Raw formation energy**: -2.67 eV per atom
# **Calculated volume**: 407 Å³/cell
# **Fermi-level density of states**: 4.41 states/eV per cell
# **Total magnetization**: 2.0 μB/cell
data_CsNbInF6
_cell_length_a 6.8592
_cell_length_b 6.8592
_cell_length_c 9.9896
_cell_angle_alpha 90.00
_cell_angle_beta 90.00
_cell_angle_gamma 120.00
_space_group_name_H-M_alt 'P 1'
_space_group_IT_number 1
loop_
_space_group_symop_operation_xyz
'x,y,z'
loop_
_atom_site_label
_atom_site_type_symbol
_atom_site_fract_x
_atom_site_fract_y
_atom_site_fract_z
Cs1 Cs 0.0000 0.0000 0.0000
Cs2 Cs 0.0000 0.0000 0.5000
Nb1 Nb 0.6667 0.3333 0.2500
Nb2 Nb 0.3333 0.6667 0.7500
In1 In 0.3333 0.6667 0.2500
In2 In 0.6667 0.3333 0.7500
F1 F 0.6626 0.5837 0.1458
F2 F 0.9211 0.3374 0.1458
F3 F 0.3374 0.9211 0.6458
F4 F 0.0789 0.6626 0.8542
F5 F 0.4163 0.3374 0.3542
F6 F 0.9211 0.5837 0.3542
F7 F 0.5837 0.9211 0.8542
F8 F 0.6626 0.0789 0.3542
F9 F 0.0789 0.4163 0.6458
F10 F 0.4163 0.0789 0.1458
F11 F 0.5837 0.6626 0.6458
F12 F 0.3374 0.4163 0.8542